Here is an optimized crystal structure of Te3C from Alexandria. Energies are from PBEsol.

Structure (POSCAR):
```
Te3C
1.0
-1.9675 1.9675 14.2395
1.9675 -1.9675 14.2395
1.9675 1.9675 -14.2395
Te C
6 2
direct
0.0000 0.5000 0.5000 Te
0.1253 0.1253 0.0000 Te
0.2500 0.7500 0.5000 Te
0.5000 0.0000 0.5000 Te
0.7500 0.2500 0.5000 Te
0.8747 0.8747 0.0000 Te
0.3739 0.3739 0.0000 C
0.6261 0.6261 0.0000 C
```

- Size of the total moment: 0.127 μB per atom
- Energy relative to the lowest polymorph listed for this composition: 0.572 eV per atom